Entry from Alexandria via LeMat-Bulk: crystalline RbCuSeBr2 at its relaxed geometry (GGA-PBE).

Values from the calculation:
- formation energy without anion corrections (meV per atom) = -568
- E above lowest polymorph (meV per atom) = 0
- symmetry = P4/mmm, No. 123
- total moment (μB/atom) = 0.251
- D(E_F) (states/eV per atom) = 0.69

abc: 5.4579 5.4579 4.7667
angles: 90.00 90.00 90.00
Last column: nearest neighbours and their distance in Å.
Sites, in units of the cell vectors:
1 Cu 0.0000 0.0000 0.0000  2 Se 2.38
2 Br 0.0000 0.5000 0.0000  2 Cu 2.73
3 Br 0.5000 0.0000 0.0000  2 Cu 2.73
4 Rb 0.5000 0.5000 0.5000  8 Br 3.62, 4 Se 3.86
5 Se 0.0000 0.0000 0.5000  2 Cu 2.38